(1)
## PuCdPd6 (PBE)

Data for crystalline PuCdPd6 at its relaxed geometry.

Cell and atoms, written as CIF:
```
data_PuCdPd6
_symmetry_space_group_name_H-M 'P 4/m m m'
_symmetry_Int_Tables_number 123
_symmetry_space_group_name_Hall '-P 4 2'
_cell_length_a 4.1051
_cell_length_b 4.1051
_cell_length_c 8.1061
_cell_angle_alpha 90.00
_cell_angle_beta 90.00
_cell_angle_gamma 90.00
loop_
_atom_site_label
_atom_site_fract_x
_atom_site_fract_y
_atom_site_fract_z
Pu1 0.0000 0.0000 0.0000
Cd1 0.0000 0.0000 0.5000
Pd1 0.0000 0.5000 0.2503
Pd2 0.5000 0.5000 0.0000
Pd3 0.5000 0.5000 0.5000
```

V ... 17.08 A^3/atom
Calculated formation energy ... -321 kJ/mol of formula units
Polymorph energy (0 for the lowest one) ... 0.000 eV/atom
Density of states at the Fermi level ... 14.726 states/eV per cell

=====

(2)
## PuCd2Pd (PBE)

Data for crystalline PuCd2Pd at its relaxed geometry.

Cell and atoms, written as CIF:
```
data_PuCd2Pd
_symmetry_space_group_name_H-M 'P 4/m m m'
_symmetry_Int_Tables_number 123
_symmetry_space_group_name_Hall '-P 4 2'
_cell_length_a 3.1923
_cell_length_b 3.1923
_cell_length_c 8.3254
_cell_angle_alpha 90.00
_cell_angle_beta 90.00
_cell_angle_gamma 90.00
loop_
_atom_site_label
_atom_site_fract_x
_atom_site_fract_y
_atom_site_fract_z
Pu1 0.0000 0.0000 0.0000
Cd1 0.5000 0.5000 0.2937
Pd1 0.0000 0.0000 0.5000
```

V ... 21.21 A^3/atom
Calculated formation energy ... -83 kJ/mol of formula units
Density of states at the Fermi level ... 7.586 states/eV per cell

=====

(3)
## Pu2Cd3Pd2 (PBE)

Data for crystalline Pu2Cd3Pd2 at its relaxed geometry.

Cell and atoms, written as CIF:
```
data_Pu2Cd3Pd2
_symmetry_space_group_name_H-M 'C 1 2/m 1'
_symmetry_Int_Tables_number 12
_symmetry_space_group_name_Hall '-C 2y'
_cell_length_a 13.2984
_cell_length_b 3.2446
_cell_length_c 7.9509
_cell_angle_alpha 90.00
_cell_angle_beta 123.56
_cell_angle_gamma 90.00
loop_
_atom_site_label
_atom_site_fract_x
_atom_site_fract_y
_atom_site_fract_z
Pu1 0.2024 0.0000 0.3781
Cd1 0.0000 0.5000 0.5000
Cd2 0.0651 0.5000 0.9120
Pd1 0.1926 0.0000 0.8020
```

V ... 20.42 A^3/atom
Calculated formation energy ... -25 kJ/mol of formula units
Density of states at the Fermi level ... 15.509 states/eV per cell

=====

(4)
## PuCd2Pd3 (PBE)

Data for crystalline PuCd2Pd3 at its relaxed geometry.

Cell and atoms, written as CIF:
```
data_PuCd2Pd3
_symmetry_space_group_name_H-M 'P 4/m m m'
_symmetry_Int_Tables_number 123
_symmetry_space_group_name_Hall '-P 4 2'
_cell_length_a 3.3148
_cell_length_b 3.3148
_cell_length_c 10.3205
_cell_angle_alpha 90.00
_cell_angle_beta 90.00
_cell_angle_gamma 90.00
loop_
_atom_site_label
_atom_site_fract_x
_atom_site_fract_y
_atom_site_fract_z
Pu1 0.0000 0.0000 0.0000
Cd1 0.0000 0.0000 0.3442
Pd1 0.5000 0.5000 0.1869
Pd2 0.5000 0.5000 0.5000
```

V ... 18.90 A^3/atom
Calculated formation energy ... -223 kJ/mol of formula units
Density of states at the Fermi level ... 10.748 states/eV per cell

=====

(5)
## Pu3CdPd3 (PBE)

Data for crystalline Pu3CdPd3 at its relaxed geometry.

Cell and atoms, written as CIF:
```
data_Pu3CdPd3
_symmetry_space_group_name_H-M 'C 1 2/m 1'
_symmetry_Int_Tables_number 12
_symmetry_space_group_name_Hall '-C 2y'
_cell_length_a 5.7988
_cell_length_b 9.8684
_cell_length_c 10.7942
_cell_angle_alpha 90.00
_cell_angle_beta 99.10
_cell_angle_gamma 90.00
loop_
_atom_site_label
_atom_site_fract_x
_atom_site_fract_y
_atom_site_fract_z
Pu1 0.0000 0.1618 0.0000
Pu2 0.0000 0.2470 0.5000
Pu3 0.0463 0.5000 0.1523
Cd1 0.1136 0.0000 0.3119
Pd1 0.1811 0.5000 0.4160
Pd2 0.1867 0.2470 0.7635
```

V ... 21.78 A^3/atom
Calculated formation energy ... -200 kJ/mol of formula units
Density of states at the Fermi level ... 103.693 states/eV per cell

=====

(6)
## PuCd4Pd5 (PBE)

Data for crystalline PuCd4Pd5 at its relaxed geometry.

Cell and atoms, written as CIF:
```
data_PuCd4Pd5
_symmetry_space_group_name_H-M 'P 4/m m m'
_symmetry_Int_Tables_number 123
_symmetry_space_group_name_Hall '-P 4 2'
_cell_length_a 3.0891
_cell_length_b 3.0891
_cell_length_c 19.0381
_cell_angle_alpha 90.00
_cell_angle_beta 90.00
_cell_angle_gamma 90.00
loop_
_atom_site_label
_atom_site_fract_x
_atom_site_fract_y
_atom_site_fract_z
Pu1 0.0000 0.0000 0.0000
Cd1 0.0000 0.0000 0.2096
Cd2 0.0000 0.0000 0.4033
Pd1 0.5000 0.5000 0.1117
Pd2 0.5000 0.5000 0.3064
Pd3 0.5000 0.5000 0.5000
```

V ... 18.17 A^3/atom
Calculated formation energy ... -375 kJ/mol of formula units
Density of states at the Fermi level ... 9.554 states/eV per cell

=====

(7)
## PuCd11Pd (PBE)

Data for crystalline PuCd11Pd at its relaxed geometry.

Cell and atoms, written as CIF:
```
data_PuCd11Pd
_symmetry_space_group_name_H-M 'C 1 2/m 1'
_symmetry_Int_Tables_number 12
_symmetry_space_group_name_Hall '-C 2y'
_cell_length_a 5.6301
_cell_length_b 14.3844
_cell_length_c 7.6602
_cell_angle_alpha 90.00
_cell_angle_beta 111.08
_cell_angle_gamma 90.00
loop_
_atom_site_label
_atom_site_fract_x
_atom_site_fract_y
_atom_site_fract_z
Pu1 0.0000 0.0000 0.0000
Cd1 0.0000 0.0000 0.5000
Cd2 0.0983 0.3973 0.2133
Cd3 0.1888 0.1698 0.3573
Cd4 0.2500 0.2500 0.0000
Pd1 0.0000 0.5000 0.5000
```

V ... 22.26 A^3/atom
Calculated formation energy ... -111 kJ/mol of formula units
Density of states at the Fermi level ... 35.090 states/eV per cell

=====

(8)
## PuCdPd4 (PBE)

Data for crystalline PuCdPd4 at its relaxed geometry.

Cell and atoms, written as CIF:
```
data_PuCdPd4
_symmetry_space_group_name_H-M 'C m c m'
_symmetry_Int_Tables_number 63
_symmetry_space_group_name_Hall '-C 2c 2'
_cell_length_a 4.4863
_cell_length_b 18.3861
_cell_length_c 5.6873
_cell_angle_alpha 90.00
_cell_angle_beta 90.00
_cell_angle_gamma 90.00
loop_
_atom_site_label
_atom_site_fract_x
_atom_site_fract_y
_atom_site_fract_z
Pu1 0.0000 0.0869 0.2500
Cd1 0.0000 0.3492 0.2500
Pd1 0.0000 0.0643 0.7500
Pd2 0.0000 0.2101 0.5056
Pd3 0.0000 0.5000 0.0000
```

V ... 19.55 A^3/atom
Calculated formation energy ... -187 kJ/mol of formula units
Density of states at the Fermi level ... 70.307 states/eV per cell

=====

The highest V belongs to which entry?
PuCd11Pd

=====

Which formula does entry 1 have?
PuCdPd6

=====

Look up the density of states at the Fermi level of the sixth one.
9.554 states/eV per cell